1.
The following is a DFT calculation (PBE-GGA) of a relaxed structure of MgScTlIn.

Results
Volume (Å³ per cell): 93
DOS at the Fermi energy (states/eV per atom): 0.530
Density (g/cm3): 6.902
Calculated formation energy (eV/atom): -0.162
Total magnetic moment (μB per cell): 0.0
DFT total energy (eV per atom): -3.419

extended XYZ file:
```
4
Lattice="-4.2622 -0.3860 2.7627 -0.4680 -3.7136 3.4552 0.0753 1.1199 4.9687" Properties=species:S:1:pos:R:3 pbc="T T T"
Sc -2.3275 -1.4898 5.5933
Tl -3.4912 -2.2348 8.3900
Mg 0.0000 0.0000 0.0000
In -1.1637 -0.7449 2.7967
```


2.
The following is a DFT calculation (PBE-GGA) of a relaxed structure of Mg2ScTl2In.

Results
Volume (Å³ per cell): 291
DOS at the Fermi energy (states/eV per atom): 0.601
Density (g/cm3): 7.053
Calculated formation energy (eV/atom): -0.088
Total magnetic moment (μB per cell): 0.0
DFT total energy (eV per atom): -2.920

extended XYZ file:
```
12
Lattice="-3.8021 -1.0101 -2.4692 0.0722 -6.1537 2.4062 -5.4374 2.7672 7.2403" Properties=species:S:1:pos:R:3 pbc="T T T"
Mg -1.9072 -1.2443 -0.9227
Mg -1.0487 -1.7696 2.3387
Mg -7.2785 -1.5692 7.4808
Mg -4.2981 -3.1744 7.9167
Sc -2.4368 -4.2454 5.4889
Sc -2.9071 -0.9476 4.8638
Tl -4.6944 0.1274 7.1761
Tl -3.7335 -0.4917 1.5815
Tl -0.6534 -4.9876 3.0465
Tl -5.4481 -2.6776 5.1157
In -5.5179 0.5348 3.9091
In -3.6665 -3.4659 2.6950
```


3.
The following is a DFT calculation (PBE-GGA) of a relaxed structure of MgScTlIn.

Results
Volume (Å³ per cell): 91
DOS at the Fermi energy (states/eV per atom): 0.440
Density (g/cm3): 7.112
Calculated formation energy (eV/atom): -0.258
Total magnetic moment (μB per cell): 0.0
DFT total energy (eV per atom): -3.515

extended XYZ file:
```
4
Lattice="4.3506 0.0000 0.0000 0.0000 4.5776 0.0000 0.0000 0.0000 4.5540" Properties=species:S:1:pos:R:3 pbc="T T T"
Mg 2.1753 0.0000 2.2770
Sc 2.1753 2.2888 0.0000
Tl 0.0000 0.0000 0.0000
In 0.0000 2.2888 2.2770
```


4.
The following is a DFT calculation (PBE-GGA) of a relaxed structure of TmMgScIn.

Results
Volume (Å³ per cell): 96
DOS at the Fermi energy (states/eV per atom): 0.779
Density (g/cm3): 6.113
Calculated formation energy (eV/atom): -0.285
Total magnetic moment (μB per cell): 0.0
DFT total energy (eV per atom): -4.069

extended XYZ file:
```
4
Lattice="5.1376 0.0000 0.0000 2.5688 4.4493 0.0000 2.5688 1.4831 4.1948" Properties=species:S:1:pos:R:3 pbc="T T T"
Sc 0.0000 0.0000 0.0000
Mg 2.5688 1.4831 1.0487
Tm 5.1376 2.9662 2.0974
In 7.7064 4.4493 3.1461
```